Entry 1:
Material: NaLa2Au2
Method: DFT, PBE-GGA
State: relaxed

Calculated values
Energy of formation ... -0.22 eV/atom
Crystal system ... tetragonal
Density of states at the Fermi level ... 17.73 states/eV per cell
Raw total energy ... -3.77 eV/atom

abc: 4.599 4.599 15.976
angles: 90.00 90.00 90.00
Fractional positions:
Na 0.000 0.000 0.000
Na 0.500 0.500 0.500
La 0.000 0.000 0.372
La 0.000 0.000 0.628
La 0.500 0.500 0.128
La 0.500 0.500 0.872
Au 0.000 0.500 0.250
Au 0.000 0.500 0.750
Au 0.500 0.000 0.250
Au 0.500 0.000 0.750

=====

Entry 2:
Material: Tb2Ir3Ru
Method: DFT, PBE-GGA
State: relaxed

Calculated values
Energy of formation ... -0.70 eV/atom
Crystal system ... hexagonal
Density of states at the Fermi level ... 11.31 states/eV per cell
Raw total energy ... -8.22 eV/atom

abc: 5.369 5.369 8.717
angles: 90.00 90.00 120.00
Fractional positions:
Tb 0.333 0.667 0.066
Tb 0.333 0.667 0.434
Tb 0.667 0.333 0.566
Tb 0.667 0.333 0.934
Ir 0.169 0.338 0.750
Ir 0.169 0.831 0.750
Ir 0.338 0.169 0.250
Ir 0.662 0.831 0.750
Ir 0.831 0.169 0.250
Ir 0.831 0.662 0.250
Ru 0.000 0.000 0.000
Ru 0.000 0.000 0.500